# La2Pm2Y

An optimized crystal structure of La2Pm2Y (PBE, Alexandria).

Cell and atoms, written as POSCAR:
```
La2Pm2Y
1.0
6.2172 0.7012 -1.2960
-2.0057 5.7713 -1.8691
0.1255 -0.7515 9.6327
La Y Pm
4 2 4
direct
0.5596 0.6368 0.8509 La
0.2140 0.7913 0.3509 La
0.7860 0.2087 0.6491 La
0.4404 0.3632 0.1491 La
0.2827 0.0327 0.7500 Y
0.7173 0.9673 0.2500 Y
0.7738 0.6333 0.5220 Pm
0.2262 0.3667 0.4780 Pm
0.8887 0.2483 0.0220 Pm
0.1113 0.7517 0.9780 Pm
```

Computed properties:
Offset from the most stable computed form ... 0 meV/atom
Calculated formation energy ... 50 kJ/mol of formula units